{
  "formula": "Na2NiPtO4",
  "functional": "PBE+U",
  "state": "optimized geometry",
  "dft_energy_ev_per_atom": -5.030,
  "cell": [[-0.173, 0.153, 3.123], [5.123, -1.751, 0.369], [0.004, 5.566, -0.272]],
  "species": ["Ni", "Pt", "O", "Na", "O", "O", "O", "Na"],
  "frac_coords": [[0.500, 0.500, 0.000], [0.000, 0.000, 0.000], [0.000, 0.261, 0.797], [0.000, 0.500, 0.500], [0.500, 0.778, 0.801], [0.500, 0.222, 0.199], [0.000, 0.739, 0.203], [0.500, 0.000, 0.500]]
}